# Er2PuIn3Te6 | the Alexandria database | GGA-PBE | optimized geometry
# Formation energy (no corrections)   -0.86 eV per atom
# Calculated density   6.857 Mg/m³
# Symmetry   No. 12
data_Er2PuIn3Te6
_symmetry_space_group_name_H-M 'P 1'
_symmetry_Int_Tables_number 1
_cell_length_a 7.6575
_cell_length_b 7.6575
_cell_length_c 8.4463
_cell_angle_alpha 98.70
_cell_angle_beta 98.70
_cell_angle_gamma 119.98
loop_
_symmetry_equiv_pos_as_xyz
'x,y,z'
loop_
_atom_site_label
_atom_site_type_symbol
_atom_site_fract_x
_atom_site_fract_y
_atom_site_fract_z
Er1 Er 0.3330 0.6670 0.0000
Te1 Te 0.4134 0.0733 0.2198
Te2 Te 0.0733 0.4134 0.2198
In1 In 0.8348 0.1652 0.5000
Er2 Er 0.6670 0.3330 0.0000
Te3 Te 0.9267 0.5866 0.7802
In2 In 0.1652 0.8348 0.5000
Te4 Te 0.5866 0.9267 0.7802
Te5 Te 0.7325 0.7325 0.2183
Pu1 Pu 0.0000 0.0000 0.0000
Te6 Te 0.2675 0.2675 0.7817
In3 In 0.5000 0.5000 0.5000


# Tb2Pr3Dy6Pb | the Alexandria database | GGA-PBE | optimized geometry
# Calculated density   8.345 Mg/m³
# Formation energy from the elements   -51 meV per atom
# Symmetry   No. 12
data_Tb2Pr3Dy6Pb
_symmetry_space_group_name_H-M 'P 1'
_symmetry_Int_Tables_number 1
_cell_length_a 6.1814
_cell_length_b 6.1814
_cell_length_c 11.7481
_cell_angle_alpha 95.07
_cell_angle_beta 95.07
_cell_angle_gamma 120.01
loop_
_symmetry_equiv_pos_as_xyz
'x,y,z'
loop_
_atom_site_label
_atom_site_type_symbol
_atom_site_fract_x
_atom_site_fract_y
_atom_site_fract_z
Pr1 Pr 0.1681 0.8319 0.5000
Dy1 Dy 0.4075 0.0805 0.2436
Pr2 Pr 0.5000 0.5000 0.5000
Dy2 Dy 0.9195 0.5925 0.7564
Dy3 Dy 0.5925 0.9195 0.7564
Dy4 Dy 0.2464 0.2464 0.7548
Pb1 Pb 0.0000 0.0000 0.0000
Dy5 Dy 0.0805 0.4075 0.2436
Tb1 Tb 0.3342 0.6658 0.0000
Dy6 Dy 0.7536 0.7536 0.2452
Tb2 Tb 0.6658 0.3342 0.0000
Pr3 Pr 0.8319 0.1681 0.5000


# Er4InC2 | the Alexandria database | GGA-PBE | optimized geometry
# Calculated density   8.579 Mg/m³
# Formation energy from the elements   -382 meV per atom
# Symmetry   No. 166
data_Er4InC2
_symmetry_space_group_name_H-M 'P 1'
_symmetry_Int_Tables_number 1
_cell_length_a 3.5655
_cell_length_b 3.5655
_cell_length_c 14.3517
_cell_angle_alpha 82.86
_cell_angle_beta 82.86
_cell_angle_gamma 60.00
loop_
_symmetry_equiv_pos_as_xyz
'x,y,z'
loop_
_atom_site_label
_atom_site_type_symbol
_atom_site_fract_x
_atom_site_fract_y
_atom_site_fract_z
In1 In 0.0000 0.0000 0.0000
Er1 Er 0.8757 0.8757 0.3729
Er2 Er 0.7285 0.7285 0.8145
Er3 Er 0.1243 0.1243 0.6271
Er4 Er 0.2715 0.2715 0.1855
C1 C 0.4280 0.4280 0.7161
C2 C 0.5720 0.5720 0.2839


# Zr6Sn2N | the Alexandria database | GGA-PBE | optimized geometry
# Formation energy (no corrections)   -0.48 eV per atom
# Calculated density   7.235 Mg/m³
# Symmetry   No. 38
data_Zr6Sn2N
_symmetry_space_group_name_H-M 'P 1'
_symmetry_Int_Tables_number 1
_cell_length_a 3.5225
_cell_length_b 7.8415
_cell_length_c 7.7090
_cell_angle_alpha 120.57
_cell_angle_beta 90.00
_cell_angle_gamma 90.00
loop_
_symmetry_equiv_pos_as_xyz
'x,y,z'
loop_
_atom_site_label
_atom_site_type_symbol
_atom_site_fract_x
_atom_site_fract_y
_atom_site_fract_z
Zr1 Zr 0.0000 0.2369 0.0000
Zr2 Zr 0.0000 0.7671 0.7770
Zr3 Zr 0.5000 0.5887 0.0000
Zr4 Zr 0.0000 0.9901 0.2230
Sn1 Sn 0.0000 0.6660 0.3422
Zr5 Zr 0.5000 0.3825 0.3857
N1 N 0.5000 0.0482 0.0000
Zr6 Zr 0.5000 0.9967 0.6143
Sn2 Sn 0.0000 0.3237 0.6578


# PaTaO3 | the Alexandria database | GGA-PBE | optimized geometry
# Formation energy (no corrections)   -2.21 eV per atom
# Calculated density   11.602 Mg/m³
# Symmetry   No. 221
data_PaTaO3
_symmetry_space_group_name_H-M 'P 1'
_symmetry_Int_Tables_number 1
_cell_length_a 4.0378
_cell_length_b 4.0378
_cell_length_c 4.0378
_cell_angle_alpha 90.00
_cell_angle_beta 90.00
_cell_angle_gamma 90.00
loop_
_symmetry_equiv_pos_as_xyz
'x,y,z'
loop_
_atom_site_label
_atom_site_type_symbol
_atom_site_fract_x
_atom_site_fract_y
_atom_site_fract_z
Pa1 Pa 0.0000 0.0000 0.0000
O1 O 0.5000 0.5000 0.0000
O2 O 0.5000 0.0000 0.5000
Ta1 Ta 0.5000 0.5000 0.5000
O3 O 0.0000 0.5000 0.5000


# Pm5Tl2Si | the Alexandria database | GGA-PBE | optimized geometry
# Formation energy (no corrections)   -0.39 eV per atom
# Calculated density   8.206 Mg/m³
# Symmetry   No. 55
data_Pm5Tl2Si
_symmetry_space_group_name_H-M 'P 1'
_symmetry_Int_Tables_number 1
_cell_length_a 5.1290
_cell_length_b 7.0063
_cell_length_c 13.0846
_cell_angle_alpha 90.00
_cell_angle_beta 90.00
_cell_angle_gamma 90.00
loop_
_symmetry_equiv_pos_as_xyz
'x,y,z'
loop_
_atom_site_label
_atom_site_type_symbol
_atom_site_fract_x
_atom_site_fract_y
_atom_site_fract_z
Pm1 Pm 0.5000 0.3283 0.5846
Pm2 Pm 0.5000 0.6717 0.4154
Pm3 Pm 0.5000 0.1717 0.0846
Tl1 Tl 0.5000 0.6089 0.1594
Pm4 Pm 0.0000 0.0000 0.5000
Pm5 Pm 0.0000 0.3674 0.2848
Pm6 Pm 0.5000 0.8283 0.9154
Tl2 Tl 0.5000 0.3911 0.8406
Pm7 Pm 0.0000 0.6326 0.7152
Si1 Si 0.0000 0.5000 0.5000
Pm8 Pm 0.0000 0.8674 0.2152
Pm9 Pm 0.0000 0.1326 0.7848
Tl3 Tl 0.5000 0.8911 0.6594
Tl4 Tl 0.5000 0.1089 0.3406
Si2 Si 0.0000 0.0000 0.0000
Pm10 Pm 0.0000 0.5000 0.0000


# Tb2Pm3Er6Pu | the Alexandria database | GGA-PBE | optimized geometry
# Calculated density   8.864 Mg/m³
# Formation energy from the elements   41 meV per atom
# Symmetry   No. 12
data_Tb2Pm3Er6Pu
_symmetry_space_group_name_H-M 'P 1'
_symmetry_Int_Tables_number 1
_cell_length_a 6.1423
_cell_length_b 6.1423
_cell_length_c 11.6525
_cell_angle_alpha 95.04
_cell_angle_beta 95.04
_cell_angle_gamma 120.01
loop_
_symmetry_equiv_pos_as_xyz
'x,y,z'
loop_
_atom_site_label
_atom_site_type_symbol
_atom_site_fract_x
_atom_site_fract_y
_atom_site_fract_z
Pu1 Pu 0.0000 0.0000 0.0000
Tb1 Tb 0.3334 0.6666 0.0000
Pm1 Pm 0.8328 0.1672 0.5000
Tb2 Tb 0.6666 0.3334 0.0000
Pm2 Pm 0.1672 0.8328 0.5000
Er1 Er 0.2471 0.2471 0.7542
Er2 Er 0.5892 0.9181 0.7543
Er3 Er 0.0819 0.4108 0.2457
Pm3 Pm 0.5000 0.5000 0.5000
Er4 Er 0.7529 0.7529 0.2458
Er5 Er 0.4108 0.0819 0.2457
Er6 Er 0.9181 0.5892 0.7543


# Zn2HgIr | the Alexandria database | GGA-PBE | optimized geometry
# Calculated density   13.187 Mg/m³
# Formation energy from the elements   103 meV per atom
# Symmetry   No. 12
data_Zn2HgIr
_symmetry_space_group_name_H-M 'P 1'
_symmetry_Int_Tables_number 1
_cell_length_a 4.7530
_cell_length_b 4.7530
_cell_length_c 4.9074
_cell_angle_alpha 78.29
_cell_angle_beta 78.29
_cell_angle_gamma 37.51
loop_
_symmetry_equiv_pos_as_xyz
'x,y,z'
loop_
_atom_site_label
_atom_site_type_symbol
_atom_site_fract_x
_atom_site_fract_y
_atom_site_fract_z
Ir1 Ir 0.2500 0.2500 0.2500
Zn1 Zn 0.5132 0.5132 0.4599
Zn2 Zn 0.9868 0.9868 0.0401
Hg1 Hg 0.7500 0.7500 0.7500


> Which of these has the lowest calculated density?

Er2PuIn3Te6